meta-GGA SCAN SrHg2TePd, PBEsol geometry; space group = P4/mmm; magnetic moment = 0.00 Bohr magnetons per cell; formation energy (no corrections) = -0.129 eV/atom
1.0
5.657 0.000 0.000
0.000 5.657 0.000
0.000 0.000 4.896
Sr Hg Te Pd
1 2 1 1
Direct
0.000 0.000 0.000
0.000 0.500 0.500
0.500 0.000 0.500
0.500 0.500 0.500
0.500 0.500 0.000

***

meta-GGA SCAN BeReTc2, PBEsol geometry; energy relative to the elements = -0.016 eV/atom; space group = Pm; magnetic moment = 0.00 Bohr magnetons per cell
1.0
2.699 0.000 0.000
0.000 3.843 0.000
-0.011 0.000 5.040
Be Re Tc
1 1 2
Direct
0.000 0.000 0.000
0.499 0.500 0.239
0.000 0.000 0.500
0.500 0.500 0.768

***

meta-GGA SCAN AgIrSe, PBEsol geometry; energy above the lowest structure with this stoichiometry = 2.9 kJ/mol of atoms; space group = F-43m; magnetic moment = 0.00 Bohr magnetons per cell; formation energy (no corrections) = 0.537 eV/atom
1.0
6.063 0.000 0.000
0.000 6.063 0.000
0.000 0.000 6.063
Ag Ir Se
4 4 4
Direct
0.000 0.000 0.000
0.000 0.500 0.500
0.500 0.000 0.500
0.500 0.500 0.000
0.250 0.250 0.750
0.250 0.750 0.250
0.750 0.250 0.250
0.750 0.750 0.750
0.000 0.000 0.500
0.000 0.500 0.000
0.500 0.000 0.000
0.500 0.500 0.500

***

meta-GGA SCAN Li4NbO4, PBEsol geometry; energy above the lowest structure with this stoichiometry = 0.8 kJ/mol of atoms; space group = Cmcm; magnetic moment = 0.00 Bohr magnetons per cell; formation energy (no corrections) = -2.276 eV/atom
1.0
4.179 -3.476 0.000
4.179 3.476 0.000
0.000 0.000 6.418
Li Nb O
8 2 8
Direct
0.077 0.638 0.750
0.345 0.345 0.000
0.345 0.345 0.500
0.362 0.923 0.750
0.638 0.077 0.250
0.655 0.655 0.000
0.655 0.655 0.500
0.923 0.362 0.250
0.154 0.846 0.250
0.846 0.154 0.750
0.166 0.269 0.750
0.269 0.166 0.250
0.281 0.719 0.515
0.281 0.719 0.985
0.719 0.281 0.015
0.719 0.281 0.485
0.731 0.834 0.750
0.834 0.731 0.250

***

meta-GGA SCAN BaTaTe2, PBEsol geometry; energy above the lowest structure with this stoichiometry = 103.3 kJ/mol of atoms; space group = F-43m; magnetic moment = 11.81 Bohr magnetons per cell; formation energy (no corrections) = 0.480 eV/atom
1.0
7.647 0.000 0.000
0.000 7.647 0.000
0.000 0.000 7.647
Ba Ta Te
4 4 8
Direct
0.000 0.000 0.000
0.000 0.500 0.500
0.500 0.000 0.500
0.500 0.500 0.000
0.250 0.250 0.250
0.250 0.750 0.750
0.750 0.250 0.750
0.750 0.750 0.250
0.000 0.000 0.500
0.000 0.500 0.000
0.250 0.250 0.750
0.250 0.750 0.250
0.500 0.000 0.000
0.500 0.500 0.500
0.750 0.250 0.250
0.750 0.750 0.750

***

meta-GGA SCAN NaZnH3, PBEsol geometry; space group = Pm-3m; magnetic moment = 0.00 Bohr magnetons per cell; energy = -28.5 eV for the cell shown
1.0
3.615 0.000 0.000
0.000 3.615 0.000
0.000 0.000 3.615
Na Zn H
1 1 3
Direct
0.000 0.000 0.000
0.500 0.500 0.500
0.000 0.500 0.500
0.500 0.000 0.500
0.500 0.500 0.000

***

meta-GGA SCAN KRh2W, PBEsol geometry; energy relative to the elements = 0.655 eV/atom; space group = Cm; magnetic moment = 0.00 Bohr magnetons per cell
1.0
9.391 0.000 0.000
0.000 2.751 0.000
-0.879 0.000 6.241
K Rh W
2 4 2
Direct
0.000 0.000 0.000
0.500 0.500 0.000
0.017 0.500 0.484
0.228 0.000 0.713
0.517 0.000 0.484
0.728 0.500 0.713
0.287 0.500 0.407
0.787 0.000 0.407

***

meta-GGA SCAN PPb2Cl, PBEsol geometry; energy above the lowest structure with this stoichiometry = 34.1 kJ/mol of atoms; space group = C2/m; magnetic moment = 0.00 Bohr magnetons per cell; formation energy (no corrections) = -0.099 eV/atom
1.0
7.543 0.000 0.000
0.000 7.543 0.000
-0.013 0.000 3.330
P Pb Cl
2 4 2
Direct
0.000 0.000 0.000
0.500 0.500 0.000
0.250 0.250 0.500
0.250 0.750 0.500
0.750 0.250 0.500
0.750 0.750 0.500
0.000 0.500 0.000
0.500 0.000 0.000

***

meta-GGA SCAN YMg2TePt, PBEsol geometry; space group = P4/mmm; magnetic moment = 0.00 Bohr magnetons per cell; formation energy (no corrections) = 0.758 eV/atom
1.0
5.832 0.000 0.000
0.000 5.832 0.000
0.000 0.000 4.920
Y Mg Te Pt
1 2 1 1
Direct
0.000 0.000 0.000
0.000 0.500 0.000
0.500 0.000 0.000
0.500 0.500 0.500
0.000 0.000 0.500

***

meta-GGA SCAN LiIr3Cl, PBEsol geometry; space group = Pm-3m; magnetic moment = 0.01 Bohr magnetons per cell; formation energy (no corrections) = 1.481 eV/atom
1.0
4.368 0.000 0.000
0.000 4.368 0.000
0.000 0.000 4.368
Li Ir Cl
1 3 1
Direct
0.000 0.000 0.000
0.000 0.500 0.500
0.500 0.000 0.500
0.500 0.500 0.000
0.500 0.500 0.500

***

meta-GGA SCAN Zn2Pb, PBEsol geometry; energy relative to the elements = 0.155 eV/atom; space group = P6_3/mmc; magnetic moment = 0.00 Bohr magnetons per cell
1.0
5.386 0.000 0.000
-2.693 4.664 0.000
0.000 0.000 9.259
Zn Pb
8 4
Direct
0.000 0.000 0.000
0.000 0.000 0.500
0.168 0.336 0.250
0.168 0.832 0.250
0.336 0.168 0.750
0.664 0.832 0.250
0.832 0.168 0.750
0.832 0.664 0.750
0.333 0.667 0.570
0.333 0.667 0.930
0.667 0.333 0.070
0.667 0.333 0.430

***

meta-GGA SCAN Mg2CdH24Br6O12, PBEsol geometry; space group = R-3; magnetic moment = 0.00 Bohr magnetons per cell; energy = -368.0 eV for the cell shown
1.0
5.026 2.902 6.395
-5.026 2.902 6.395
0.000 -5.804 6.395
Mg Cd H Br O
2 1 24 6 12
Direct
0.197 0.197 0.197
0.803 0.803 0.803
0.500 0.500 0.500
0.007 0.385 0.967
0.028 0.589 0.620
0.033 0.993 0.615
0.119 0.687 0.862
0.124 0.322 0.472
0.138 0.881 0.313
0.313 0.138 0.881
0.322 0.472 0.124
0.380 0.972 0.411
0.385 0.967 0.007
0.411 0.380 0.972
0.472 0.124 0.322
0.528 0.876 0.678
0.589 0.620 0.028
0.615 0.033 0.993
0.620 0.028 0.589
0.678 0.528 0.876
0.687 0.862 0.119
0.862 0.119 0.687
0.876 0.678 0.528
0.881 0.313 0.138
0.967 0.007 0.385
0.972 0.411 0.380
0.993 0.615 0.033
0.231 0.349 0.662
0.338 0.769 0.651
0.349 0.662 0.231
0.651 0.338 0.769
0.662 0.231 0.349
0.769 0.651 0.338
0.003 0.674 0.913
0.067 0.309 0.394
0.087 0.997 0.326
0.309 0.394 0.067
0.326 0.087 0.997
0.394 0.067 0.309
0.606 0.933 0.691
0.674 0.913 0.003
0.691 0.606 0.933
0.913 0.003 0.674
0.933 0.691 0.606
0.997 0.326 0.087